Material: AgW2Cl
Method: DFT, PBE-GGA
State: relaxed

Cell and atoms, written as POSCAR:
```
AgW2Cl
1.0
4.584 0.038 0.000
-0.054 4.582 0.000
-2.265 -2.310 3.252
W Cl Ag
2 1 1
Cartesian
2.265 2.310 3.252
-0.027 2.291 1.626
2.292 0.019 1.626
0.000 0.000 3.252
```

Results
Distance to the lowest polymorph of the same formula, meV/atom: 1006
Symmetry: I-4m2, No. 119
Density of states at the Fermi level, states/eV per cell: 2.8
Calculated total energy, Ry per atom: -0.470
ΔE_f (raw), meV/atom: 1258